(1)
The following is a DFT calculation (PBE-GGA) of a geometry-optimized Ba2InTePt structure.

abc: 6.1336 6.1336 5.1316
angles: 90.00 90.00 90.00
Closest atoms and distances in Å follow each position.
Element x y z (fractional)
1 Te 0.5000 0.5000 0.5000  8 Ba 4.00, 4 In 4.34
2 Ba 0.0000 0.5000 0.0000  2 Pt 3.07
3 Ba 0.5000 0.0000 0.0000  2 Pt 3.07
4 Pt 0.0000 0.0000 0.0000  2 In 2.57
5 In 0.0000 0.0000 0.5000  2 Pt 2.57

Results
D(E_F)	2.44	states/eV/cell
symmetry	P4/mmm (123)
raw total energy	-4.067	eV per atom
formation energy from raw total energies	-0.913	eV/atom

(2)
The following is a DFT calculation (PBE-GGA) of a geometry-optimized Ba2TlInPt structure.

abc: 6.1591 6.1591 5.2002
angles: 90.00 90.00 90.00
Closest atoms and distances in Å follow each position.
Element x y z (fractional)
1 Tl 0.5000 0.5000 0.5000  8 Ba 4.03, 4 In 4.36
2 Ba 0.0000 0.5000 0.0000  2 Pt 3.08
3 Ba 0.5000 0.0000 0.0000  2 Pt 3.08
4 Pt 0.0000 0.0000 0.0000  2 In 2.60
5 In 0.0000 0.0000 0.5000  2 Pt 2.60

Results
D(E_F)	4.70	states/eV/cell
formation energy	-0.469	eV/atom
symmetry	P4/mmm (123)
energy relative to the lowest polymorph listed for this composition	0	meV/atom
raw total energy	-3.467	eV per atom

(3)
The following is a DFT calculation (PBE-GGA) of a geometry-optimized Ba2TlInPt structure.

abc: 6.1471 6.1471 5.2713
angles: 90.00 90.00 90.00
Closest atoms and distances in Å follow each position.
Element x y z (fractional)
1 Tl 0.0000 0.0000 0.5000  2 Pt 2.64
2 Ba 0.0000 0.5000 0.0000  2 Pt 3.07
3 Ba 0.5000 0.0000 0.0000  2 Pt 3.07
4 Pt 0.0000 0.0000 0.0000  2 Tl 2.64
5 In 0.5000 0.5000 0.5000  8 Ba 4.05, 4 Tl 4.35

Results
D(E_F)	5.28	states/eV/cell
formation energy	-0.380	eV/atom
symmetry	P4/mmm (123)
energy relative to the lowest polymorph listed for this composition	89	meV/atom
raw total energy	-3.378	eV per atom

(4)
The following is a DFT calculation (PBE-GGA) of a geometry-optimized Ba2Tl6InPt structure.

abc: 7.6741 7.6741 13.7185
angles: 73.76 73.76 60.00
Closest atoms and distances in Å follow each position.
Element x y z (fractional)
1 Ba 0.8947 0.8947 0.3160  12 Tl 3.83-4.04, 1 Pt 4.10
2 Ba 0.1053 0.1053 0.6840  12 Tl 3.83-4.04, 1 Pt 4.10
3 Ba 0.7193 0.7193 0.8421  12 Tl 3.73-3.94
4 Ba 0.2807 0.2807 0.1579  12 Tl 3.73-3.94
5 Tl 0.9197 0.3365 0.4073  1 Pt 2.85, 1 In 3.06
6 Tl 0.3365 0.9197 0.4073  1 Pt 2.85, 1 In 3.06
7 Tl 0.3365 0.3365 0.4073  1 Pt 2.85, 1 In 3.06
8 Tl 0.0803 0.6635 0.5927  1 Pt 2.85, 1 In 3.06
9 Tl 0.6635 0.0803 0.5927  1 Pt 2.85, 1 In 3.06
10 Tl 0.6635 0.6635 0.5927  1 Pt 2.85, 1 In 3.06
11 Tl 0.6532 0.2201 0.9066  1 Pt 2.79, 1 In 3.10
12 Tl 0.2201 0.6532 0.9066  1 Pt 2.79, 1 In 3.10
13 Tl 0.2201 0.2201 0.9066  1 Pt 2.79, 1 In 3.10
14 Tl 0.3468 0.7799 0.0934  1 Pt 2.79, 1 In 3.10
15 Tl 0.7799 0.3468 0.0934  1 Pt 2.79, 1 In 3.10
16 Tl 0.7799 0.7799 0.0934  1 Pt 2.79, 1 In 3.10
17 In 0.5731 0.5731 0.2808  1 Pt 2.85, 6 Tl 3.06-3.10
18 In 0.4269 0.4269 0.7192  1 Pt 2.85, 6 Tl 3.06-3.10
19 Pt 0.0000 0.0000 0.0000  6 Tl 2.79
20 Pt 0.5000 0.5000 0.5000  2 In 2.85, 6 Tl 2.85

Results
D(E_F)	12.04	states/eV/cell
formation energy	-0.203	eV/atom
symmetry	R-3m (166)
raw total energy	-2.885	eV per atom

(5)
The following is a DFT calculation (PBE-GGA) of a geometry-optimized BaTlIn2Pt structure.

abc: 5.2896 5.2896 5.5145
angles: 90.00 90.00 90.00
Closest atoms and distances in Å follow each position.
Element x y z (fractional)
1 Tl 0.0000 0.0000 0.5000  2 Pt 2.76
2 Ba 0.5000 0.5000 0.5000  4 Tl 3.74, 8 In 3.82
3 Pt 0.0000 0.0000 0.0000  4 In 2.64, 2 Tl 2.76
4 In 0.0000 0.5000 0.0000  2 Pt 2.64
5 In 0.5000 0.0000 0.0000  2 Pt 2.64

Results
D(E_F)	4.09	states/eV/cell
formation energy	-0.295	eV/atom
symmetry	P4/mmm (123)
energy relative to the lowest polymorph listed for this composition	55	meV/atom
raw total energy	-3.457	eV per atom

(6)
The following is a DFT calculation (PBE-GGA) of a geometry-optimized BaTlIn2Pt structure.

abc: 5.2705 5.2705 6.0187
angles: 90.00 90.00 90.00
Closest atoms and distances in Å follow each position.
Element x y z (fractional)
1 Tl 0.5000 0.5000 0.5000  4 Ba 3.73, 8 In 4.00
2 Ba 0.0000 0.0000 0.5000  2 Pt 3.01
3 Pt 0.0000 0.0000 0.0000  4 In 2.64
4 In 0.0000 0.5000 0.0000  2 Pt 2.64
5 In 0.5000 0.0000 0.0000  2 Pt 2.64

Results
D(E_F)	3.50	states/eV/cell
formation energy	-0.350	eV/atom
symmetry	P4/mmm (123)
energy relative to the lowest polymorph listed for this composition	0	meV/atom
raw total energy	-3.511	eV per atom

(7)
The following is a DFT calculation (PBE-GGA) of a geometry-optimized Ba2UInPt6 structure.

abc: 7.3290 7.3290 7.3291
angles: 60.00 60.00 90.00
Closest atoms and distances in Å follow each position.
Element x y z (fractional)
1 Ba 0.2500 0.7500 0.5000  12 Pt 3.67
2 Ba 0.7500 0.2500 0.5000  12 Pt 3.67
3 U 0.5000 0.5000 0.0000  6 Pt 2.53
4 In 0.0000 0.0000 0.0000  6 Pt 2.66
5 Pt 0.2563 0.7437 0.0000  1 U 2.53, 1 In 2.66
6 Pt 0.7437 0.7437 0.0000  1 U 2.53, 1 In 2.66
7 Pt 0.2563 0.2563 0.4875  1 U 2.53, 1 In 2.66
8 Pt 0.7437 0.2563 0.0000  1 U 2.53, 1 In 2.66
9 Pt 0.2563 0.2563 0.0000  1 U 2.53, 1 In 2.66
10 Pt 0.7437 0.7437 0.5125  1 U 2.53, 1 In 2.66

Results
D(E_F)	6.82	states/eV/cell
formation energy	-0.238	eV/atom
symmetry	Fm-3m (225)
raw total energy	-5.650	eV per atom

(8)
The following is a DFT calculation (PBE-GGA) of a geometry-optimized Ba2InPtW structure.

abc: 6.0746 5.1581 6.0746
angles: 90.00 90.00 90.00
Closest atoms and distances in Å follow each position.
Element x y z (fractional)
1 In 0.0000 0.5000 0.0000  2 Pt 2.58
2 W 0.5000 0.5000 0.5000  8 Ba 3.98, 4 In 4.30
3 Pt 0.0000 0.0000 0.0000  2 In 2.58
4 Ba 0.0000 0.0000 0.5000  2 Pt 3.04
5 Ba 0.5000 0.0000 0.0000  2 Pt 3.04

Results
D(E_F)	5.10	states/eV/cell
formation energy	0.680	eV/atom
symmetry	P4/mmm (123)
raw total energy	-4.436	eV per atom

(9)
The following is a DFT calculation (PBE-GGA) of a geometry-optimized Ba2YIn12Pt3 structure.

abc: 8.8259 8.8259 8.8259
angles: 68.67 68.67 68.67
Closest atoms and distances in Å follow each position.
Element x y z (fractional)
1 Ba 0.5889 0.5889 0.5889  6 In 3.44-3.76, 1 Ba 3.57
2 Ba 0.4111 0.4111 0.4111  6 In 3.44-3.76, 1 Ba 3.57
3 Y 0.0000 0.0000 0.0000  6 In 3.22
4 In 0.2837 0.2837 0.8851  2 Pt 2.65
5 In 0.8516 0.8516 0.3997  1 Pt 2.67
6 In 0.3997 0.8516 0.8516  1 Pt 2.67
7 In 0.8851 0.2837 0.2837  2 Pt 2.65
8 In 0.8516 0.3997 0.8516  1 Pt 2.67
9 In 0.2837 0.8851 0.2837  2 Pt 2.65
10 In 0.7163 0.7163 0.1149  2 Pt 2.65
11 In 0.1484 0.1484 0.6003  1 Pt 2.67
12 In 0.6003 0.1484 0.1484  1 Pt 2.67
13 In 0.1149 0.7163 0.7163  2 Pt 2.65
14 In 0.1484 0.6003 0.1484  1 Pt 2.67
15 In 0.7163 0.1149 0.7163  2 Pt 2.65
16 Pt 0.5000 0.0000 0.0000  6 In 2.65-2.67
17 Pt 0.0000 0.5000 0.0000  6 In 2.65-2.67
18 Pt 0.0000 0.0000 0.5000  6 In 2.65-2.67

Results
D(E_F)	10.13	states/eV/cell
formation energy	-0.158	eV/atom
symmetry	R-3m (166)
raw total energy	-3.563	eV per atom

(10)
The following is a DFT calculation (PBE-GGA) of a geometry-optimized Ba2ZnInPt6 structure.

abc: 8.9513 5.5513 7.0637
angles: 66.83 51.10 89.96
Closest atoms and distances in Å follow each position.
Element x y z (fractional)
1 Ba 0.2039 0.7551 0.4900  9 Pt 3.34-3.69, 2 Zn 3.65, 2 In 3.71
2 Ba 0.7961 0.2449 0.5100  9 Pt 3.34-3.69, 2 Zn 3.65, 2 In 3.71
3 Zn 0.5000 0.5000 0.0000  6 Pt 2.58-2.79
4 In 0.0000 0.0000 0.0000  6 Pt 2.70-2.81
5 Pt 0.2761 0.7669 0.9612  1 Zn 2.58, 4 Pt 2.67-2.80, 1 In 2.70
6 Pt 0.7234 0.7279 0.0397  1 Zn 2.58, 4 Pt 2.68-2.80, 1 In 2.70
7 Pt 0.4167 0.2496 0.4994  4 Pt 2.67-2.72, 1 Zn 2.79, 1 In 2.81
8 Pt 0.7239 0.2331 0.0388  1 Zn 2.58, 4 Pt 2.67-2.80, 1 In 2.70
9 Pt 0.2766 0.2721 0.9603  1 Zn 2.58, 4 Pt 2.68-2.80, 1 In 2.70
10 Pt 0.5833 0.7504 0.5006  4 Pt 2.67-2.72, 1 Zn 2.79, 1 In 2.81

Results
D(E_F)	4.73	states/eV/cell
formation energy	-0.567	eV/atom
symmetry	C2/m (12)
raw total energy	-4.977	eV per atom